Cd2FeO3 | Alexandria | PBE+U | relaxed; crystal system = orthorhombic; calculated total energy = -4.805 eV/atom; symmetry = Immm
1.0
3.316 0.000 0.000
0.000 4.606 0.000
0.000 0.000 9.976
Cd Fe O
4 2 6
direct
0.000 0.000 0.169
0.000 0.000 0.831
0.500 0.500 0.331
0.500 0.500 0.669
0.000 0.000 0.500
0.500 0.500 0.000
0.000 0.500 0.152
0.000 0.500 0.500
0.000 0.500 0.848
0.500 0.000 0.000
0.500 0.000 0.348
0.500 0.000 0.652